1.
SrNd2WN4 | GGA-PBE | optimized geometry

```
SrNd2WN4
1.0
3.560 0.000 0.000
-1.780 6.237 0.000
0.000 0.000 12.504
Sr Nd W N
2 4 2 8
Cartesian
0.000 1.136 9.378 Sr
1.780 5.101 3.126 Sr
0.000 4.617 6.709 Nd
1.780 1.620 0.457 Nd
1.780 1.620 5.795 Nd
0.000 4.617 12.047 Nd
1.780 4.066 9.378 W
0.000 2.171 3.126 W
0.000 3.274 1.597 N
1.780 2.963 7.849 N
1.780 2.963 10.907 N
0.000 3.274 4.655 N
0.000 0.000 6.252 N
0.000 0.000 0.000 N
0.000 5.041 9.378 N
1.780 1.196 3.126 N
```

Values from the calculation:
Volume: 17.35 Å³ per atom
Crystal system: orthorhombic
Formation energy from raw total energies: -0.922 eV/atom
Final energy: -8.106 eV per atom

=====

2.
CaPm3Rh | GGA-PBE | optimized geometry

```
CaPm3Rh
1.0
-2.266 0.180 -7.146
0.505 -8.103 -0.364
-9.820 2.167 3.169
Ca Pm Rh
4 12 4
Cartesian
-4.324 -4.903 -6.280 Ca
-7.258 -0.854 1.939 Ca
-3.284 -1.863 -2.599 Ca
-8.297 -3.894 -1.742 Ca
-4.120 0.147 0.299 Pm
-7.461 -5.904 -4.641 Pm
-2.000 -7.031 -4.488 Pm
-9.581 1.274 0.147 Pm
-4.421 -5.499 -2.630 Pm
-7.160 -0.258 -1.711 Pm
-3.360 -1.254 -6.795 Pm
-8.221 -4.503 2.453 Pm
-5.355 -3.494 -0.020 Pm
-6.227 -2.263 -4.322 Pm
-10.942 -1.195 -2.124 Pm
-0.639 -4.562 -2.217 Pm
-6.055 -6.243 -0.311 Rh
-5.526 0.486 -4.031 Rh
-10.497 1.575 -2.640 Rh
-1.084 -7.331 -1.701 Rh
```

Values from the calculation:
Volume: 30.88 Å³ per atom
Crystal system: monoclinic
ΔH_f (0 K): -0.231 eV/atom
Final energy: -4.952 eV per atom

=====

3.
NbV5P2 | GGA-PBE | optimized geometry

```
NbV5P2
1.0
3.267 0.000 0.000
1.634 5.861 -0.310
1.634 1.468 5.683
Nb V P
1 5 2
Cartesian
0.000 0.000 0.000 Nb
1.634 3.665 2.687 V
3.267 3.357 0.738 V
3.267 3.972 4.635 V
3.267 5.615 2.394 V
3.267 1.714 2.979 V
4.901 5.673 4.159 P
1.634 1.656 1.214 P
```

Values from the calculation:
Volume: 13.79 Å³ per atom
Crystal system: orthorhombic
ΔH_f (0 K): -0.574 eV/atom
Final energy: -8.884 eV per atom

=====

4.
Ca2Ge4PdRh3 | GGA-PBE | optimized geometry

```
Ca2Ge4PdRh3
1.0
-2.763 2.569 2.030
1.807 -1.018 3.749
6.428 7.708 -1.005
Ca Ge Pd Rh
2 4 1 3
Cartesian
0.202 3.184 0.767 Ca
5.748 5.300 1.117 Ca
-0.478 0.776 2.889 Ge
0.000 0.000 0.000 Ge
2.674 6.148 0.380 Ge
3.276 2.336 1.503 Ge
2.736 4.630 2.387 Pd
3.214 3.854 -0.503 Rh
4.233 8.017 0.137 Rh
1.717 0.467 1.747 Rh
```

Values from the calculation:
Volume: 18.52 Å³ per atom
Crystal system: tetragonal
ΔH_f (0 K): -0.714 eV/atom
Final energy: -5.686 eV per atom

=====

5.
AlMoAu2 | GGA-PBE | optimized geometry

```
AlMoAu2
1.0
9.252 -0.024 -0.014
8.800 2.857 -0.014
8.800 1.381 2.502
Mo Au Al
1 2 1
Cartesian
13.330 2.092 1.228 Mo
0.154 0.024 0.014 Au
6.637 1.042 0.611 Au
20.156 3.163 1.856 Al
```

Values from the calculation:
Volume: 16.76 Å³ per atom
Crystal system: trigonal
ΔH_f (0 K): 0.010 eV/atom
Final energy: -5.273 eV per atom

=====

6.
Cd12Hg6Sb | GGA-PBE | optimized geometry

```
Cd12Hg6Sb
1.0
-6.981 3.439 2.019
2.629 -4.082 6.750
4.237 6.273 1.324
Cd Hg Sb
12 6 1
Cartesian
-1.793 4.246 2.981 Cd
2.407 2.286 4.353 Cd
-0.506 1.228 4.886 Cd
1.678 1.385 7.113 Cd
-2.521 3.344 5.740 Cd
0.392 4.402 5.207 Cd
4.598 1.349 6.383 Cd
1.089 -1.601 7.265 Cd
3.215 5.296 3.973 Cd
-4.713 4.281 3.710 Cd
-1.203 7.232 2.828 Cd
-3.329 0.335 6.120 Cd
1.143 3.719 1.997 Hg
-1.699 6.477 5.742 Hg
2.828 4.309 7.099 Hg
-1.258 1.912 8.097 Hg
1.584 -0.847 4.352 Hg
-2.943 1.321 2.995 Hg
0.000 0.000 0.000 Sb
```

Values from the calculation:
Volume: 25.68 Å³ per atom
Crystal system: triclinic
Formation energy from raw total energies: 0.032 eV/atom
Final energy: -0.858 eV per atom

=====

7.
Zn2CrRe | GGA-PBE | optimized geometry

```
Zn2CrRe
1.0
-2.262 1.490 -3.229
-2.160 -0.052 1.489
0.347 4.650 1.903
Cr Re Zn
1 1 2
Cartesian
-0.958 2.354 1.758 Cr
-2.400 4.128 0.836 Re
-0.169 0.013 0.125 Zn
-1.453 1.892 -0.859 Zn
```

Values from the calculation:
Volume: 13.79 Å³ per atom
Crystal system: monoclinic
ΔH_f (0 K): 0.164 eV/atom
Final energy: -5.991 eV per atom

=====

8.
Ac2PrTe4 | GGA-PBE | optimized geometry

```
Ac2PrTe4
1.0
4.256 0.000 1.151
1.490 7.395 2.936
-0.047 -0.141 8.615
Ac Pr Te
2 1 4
Cartesian
2.355 4.129 8.180 Ac
3.344 3.125 4.522 Ac
0.000 0.000 0.000 Pr
0.609 1.825 6.193 Te
5.091 5.429 6.509 Te
1.775 1.861 1.881 Te
3.924 5.393 10.822 Te
```

Values from the calculation:
Volume: 39.01 Å³ per atom
Crystal system: monoclinic
Formation energy from raw total energies: -1.503 eV/atom
Final energy: -5.155 eV per atom